Crystalline LiCuMo2 at its relaxed geometry. Source: the Alexandria database, functional PBE-GGA.

```
LiCuMo2
1.0
2.541 0.000 0.000
0.000 4.489 0.000
-1.143 0.000 5.015
Li Cu Mo
1 1 2
direct
0.000 0.000 0.000 Li
0.000 0.000 0.500 Cu
0.486 0.500 0.249 Mo
0.514 0.500 0.751 Mo
```

Properties
* distance to the lowest polymorph of the same formula: 134 meV/atom
* mass density: 7.62 Mg/m³
* calculated formation energy: 0.310 eV/atom